Record 1
Density functional theory data (PBE-GGA) for crystalline Pr2Nd5Y2 at its relaxed geometry.

POSCAR file:
```
Pr2Nd5Y2
1.0
-7.563 6.052 3.453
7.563 -6.052 3.453
7.563 6.052 -3.453
Pr Nd Y
4 10 4
Cartesian
0.000 0.000 0.000
7.563 0.000 0.000
11.345 -0.038 0.403
3.782 0.038 0.403
9.729 -3.252 2.462
5.397 2.800 -0.991
3.782 -2.851 2.581
-0.796 3.027 1.237
8.360 3.027 1.237
3.782 8.903 -0.872
2.166 3.252 2.462
5.397 3.252 2.462
0.796 9.077 1.237
-0.796 3.025 4.691
1.903 5.998 0.172
5.660 5.998 0.172
1.903 0.054 3.626
5.660 0.054 3.626
```

Raw total energy in Ry per atom: -0.364
E_form in eV/atom: 0.189

Record 2
Density functional theory data (PBE-GGA) for crystalline Sm2SnRu at its relaxed geometry.

POSCAR file:
```
Sm2SnRu
1.0
2.271 -9.218 0.000
2.271 9.218 0.000
0.000 0.000 5.075
Sm Sn Ru
4 2 2
Cartesian
2.271 7.787 3.807
2.271 4.321 1.269
2.271 -4.321 3.807
2.271 -7.787 1.269
2.271 2.448 3.807
2.271 -2.448 1.269
2.271 0.000 0.000
2.271 0.000 2.538
```

Raw total energy in Ry per atom: -0.441
E_form in eV/atom: -0.322

Record 3
Density functional theory data (PBE-GGA) for crystalline K6HgAu at its relaxed geometry.

POSCAR file:
```
K6HgAu
1.0
4.223 -6.785 0.000
4.223 6.785 0.000
-2.537 0.000 7.889
K Hg Au
6 1 1
Cartesian
1.230 2.350 1.969
0.205 0.000 6.122
1.230 -2.350 1.969
4.678 2.350 5.920
5.703 0.000 1.768
4.678 -2.350 5.920
2.954 0.000 3.945
0.000 0.000 0.000
```

Raw total energy in Ry per atom: -0.103
E_form in eV/atom: -0.124